# 1
# GGA-PBE Ca2SeBr, optimized geometry
data_Ca2SeBr
_space_group_name_H-M_alt 'P 1'
_space_group_IT_number 1
_cell_length_a 3.963
_cell_length_b 4.436
_cell_length_c 6.147
_cell_angle_alpha 90.00
_cell_angle_beta 90.00
_cell_angle_gamma 90.00
loop_
_space_group_symop_operation_xyz
'x,y,z'
loop_
_atom_site_label
_atom_site_fract_x
_atom_site_fract_y
_atom_site_fract_z
Ca1 0.000 0.000 0.000
Ca2 0.000 0.500 0.500
Se1 0.500 0.000 0.500
Br1 0.500 0.500 0.000
# * E_form (uncorrected): -1.389 eV/atom
# * crystal system: orthorhombic
# * uncorrected energy: -0.2704 Ry per atom
# * E above lowest polymorph: 258 meV per atom
# * V: 27.01 Å³ per atom

# 2
# GGA-PBE NaCd2SbIr, optimized geometry
data_NaCd2SbIr
_space_group_name_H-M_alt 'P 1'
_space_group_IT_number 1
_cell_length_a 5.297
_cell_length_b 5.297
_cell_length_c 5.024
_cell_angle_alpha 90.00
_cell_angle_beta 90.00
_cell_angle_gamma 90.00
loop_
_space_group_symop_operation_xyz
'x,y,z'
loop_
_atom_site_label
_atom_site_fract_x
_atom_site_fract_y
_atom_site_fract_z
Na1 0.000 0.000 0.000
Cd1 0.000 0.500 0.500
Cd2 0.500 0.000 0.500
Sb1 0.500 0.500 0.000
Ir1 0.500 0.500 0.500
# * E_form (uncorrected): 0.013 eV/atom
# * crystal system: tetragonal
# * uncorrected energy: -0.2362 Ry per atom
# * V: 28.20 Å³ per atom